[1]
Computed, not measured: a PBEsol-optimized structure of TaOsCl at the SCAN level of DFT.

Structure (CIF):
```
data_TaOsCl
_chemical_formula_sum 'Ta1 Os1 Cl1'
_symmetry_space_group_name_H-M 'P 3 m 1'
_symmetry_Int_Tables_number 156
_symmetry_space_group_name_Hall 'P 3 -2"'
_cell_length_a 4.2293
_cell_length_b 4.2293
_cell_length_c 2.9440
_cell_angle_alpha 90.00
_cell_angle_beta 90.00
_cell_angle_gamma 120.00
loop_
_atom_site_label
_atom_site_fract_x
_atom_site_fract_y
_atom_site_fract_z
_atom_site_occupancy
Ta1 0.0000 0.0000 0.0000 1
Os1 0.3333 0.6667 0.4722 1
Cl1 0.6667 0.3333 0.1489 1
```

=====

[2]
Computed, not measured: a PBEsol-optimized structure of TaOsCl2 at the SCAN level of DFT.

Structure (CIF):
```
data_TaOsCl2
_chemical_formula_sum 'Ta2 Os2 Cl4'
_symmetry_space_group_name_H-M 'I 4/m m m'
_symmetry_Int_Tables_number 139
_symmetry_space_group_name_Hall '-I 4 2'
_cell_length_a 3.963
_cell_length_b 3.963
_cell_length_c 8.067
_cell_angle_alpha 90.00
_cell_angle_beta 90.00
_cell_angle_gamma 90.00
loop_
_atom_site_label
_atom_site_fract_x
_atom_site_fract_y
_atom_site_fract_z
_atom_site_occupancy
Ta1 0.000 0.000 0.000 1
Os1 0.000 0.000 0.500 1
Cl1 0.000 0.500 0.250 1
```

=====

[3]
Computed, not measured: a PBEsol-optimized structure of TaOs2Cl at the SCAN level of DFT.

Structure (CIF):
```
data_TaOs2Cl
_chemical_formula_sum 'Ta2 Os4 Cl2'
_symmetry_space_group_name_H-M 'C m m m'
_symmetry_Int_Tables_number 65
_symmetry_space_group_name_Hall '-C 2 2'
_cell_length_a 5.867
_cell_length_b 7.063
_cell_length_c 2.948
_cell_angle_alpha 90.00
_cell_angle_beta 90.00
_cell_angle_gamma 90.00
loop_
_atom_site_label
_atom_site_fract_x
_atom_site_fract_y
_atom_site_fract_z
_atom_site_occupancy
Ta1 0.000 0.000 0.000 1
Os1 0.250 0.250 0.500 1
Cl1 0.000 0.500 0.000 1
```

=====

[4]
Computed, not measured: a PBEsol-optimized structure of TcOsCl2 at the SCAN level of DFT.

Structure (CIF):
```
data_TcOsCl2
_chemical_formula_sum 'Tc1 Os1 Cl2'
_symmetry_space_group_name_H-M 'P m m m'
_symmetry_Int_Tables_number 47
_symmetry_space_group_name_Hall '-P 2 2'
_cell_length_a 2.777
_cell_length_b 4.163
_cell_length_c 5.164
_cell_angle_alpha 90.00
_cell_angle_beta 90.00
_cell_angle_gamma 90.00
loop_
_atom_site_label
_atom_site_fract_x
_atom_site_fract_y
_atom_site_fract_z
_atom_site_occupancy
Tc1 0.000 0.000 0.000 1
Os1 0.500 0.000 0.500 1
Cl1 0.000 0.500 0.500 1
Cl2 0.500 0.500 0.000 1
```

=====

[5]
Computed, not measured: a PBEsol-optimized structure of TcOsCl2 at the SCAN level of DFT.

Structure (CIF):
```
data_TcOsCl2
_chemical_formula_sum 'Tc2 Os2 Cl4'
_symmetry_space_group_name_H-M 'C 1 m 1'
_symmetry_Int_Tables_number 8
_symmetry_space_group_name_Hall 'C -2y'
_cell_length_a 6.023
_cell_length_b 3.477
_cell_length_c 8.284
_cell_angle_alpha 90.00
_cell_angle_beta 90.40
_cell_angle_gamma 90.00
loop_
_atom_site_label
_atom_site_fract_x
_atom_site_fract_y
_atom_site_fract_z
_atom_site_occupancy
Tc1 0.000 0.000 0.000 1
Os1 0.165 0.500 0.851 1
Cl1 0.163 0.500 0.584 1
Cl2 0.335 0.000 0.205 1
```

=====

[6]
Computed, not measured: a PBEsol-optimized structure of TcOsCl2 at the SCAN level of DFT.

Structure (CIF):
```
data_TcOsCl2
_chemical_formula_sum 'Tc3 Os3 Cl6'
_symmetry_space_group_name_H-M 'R -3 m'
_symmetry_Int_Tables_number 166
_symmetry_space_group_name_Hall '-R 3 2"'
_cell_length_a 2.8826
_cell_length_b 2.8826
_cell_length_c 25.1970
_cell_angle_alpha 90.00
_cell_angle_beta 90.00
_cell_angle_gamma 120.00
loop_
_atom_site_label
_atom_site_fract_x
_atom_site_fract_y
_atom_site_fract_z
_atom_site_occupancy
Tc1 0.0000 0.0000 0.0000 1
Os1 0.0000 0.0000 0.5000 1
Cl1 0.0000 0.0000 0.0884 1
```

=====

no.,uncorrected energy (eV/atom),formation energy without anion corrections (eV per atom)
1,-48.46,0.355
2,-37.47,1.135
3,-53.54,1.045
4,-29.75,0.976
5,-30.87,-0.151
6,-29.70,1.020